No. 1
First-principles (meta-GGA SCAN) data for a PBEsol-optimized structure of TaMn2Ag, as listed in the Alexandria database.

Cell: 2.782 2.782 7.119 Å, 90.00 90.00 90.00°
Fractional coordinates of all 4 atoms:
Ta: 0.000 0.000 0.470
Mn: 0.000 0.000 0.048
Ag: 0.500 0.500 0.774
Mn: 0.500 0.500 0.208

The energy relative to the elements is 0.69 eV per formula unit.

***

No. 2
First-principles (meta-GGA SCAN) data for a PBEsol-optimized structure of TaMnAg, as listed in the Alexandria database.

Cell: 2.637 4.413 4.413 Å, 120.00 90.00 90.00°
Fractional coordinates of all 3 atoms:
Mn: 0.646 0.333 0.667
Ag: 0.979 0.000 0.000
Ta: 0.375 0.667 0.333

For the distance to the lowest polymorph of the same formula, the calculation gives 133 meV per atom. The energy relative to the elements is 1.18 eV per formula unit.

***

No. 3
First-principles (meta-GGA SCAN) data for a PBEsol-optimized structure of TaMnAg2, as listed in the Alexandria database.

Cell: 2.824 2.824 9.537 Å, 81.49 81.49 60.00°
Fractional coordinates of all 4 atoms:
Mn: 0.500 0.500 0.500
Ag: 0.754 0.754 0.738
Ta: 0.000 0.000 0.000
Ag: 0.246 0.246 0.262

For the distance to the lowest polymorph of the same formula, the calculation gives 138 meV per atom. The energy relative to the elements is 0.85 eV per formula unit.

***

No. 4
First-principles (meta-GGA SCAN) data for a PBEsol-optimized structure of TaMnAg2, as listed in the Alexandria database.

Cell: 2.790 2.790 8.147 Å, 90.00 90.00 90.00°
Fractional coordinates of all 4 atoms:
Ta: 0.500 0.500 0.734
Mn: 0.000 0.000 0.501
Ag: 0.000 0.000 0.003
Ag: 0.500 0.500 0.262

For the distance to the lowest polymorph of the same formula, the calculation gives 0 meV per atom. The energy relative to the elements is 0.30 eV per formula unit.

***

No. 5
First-principles (meta-GGA SCAN) data for a PBEsol-optimized structure of MnTcAg2, as listed in the Alexandria database.

Cell: 2.729 2.729 9.450 Å, 81.70 81.70 60.00°
Fractional coordinates of all 4 atoms:
Mn: 0.500 0.500 0.500
Ag: 0.248 0.248 0.255
Ag: 0.752 0.752 0.745
Tc: 0.000 0.000 0.000

For the distance to the lowest polymorph of the same formula, the calculation gives 165 meV per atom. The energy relative to the elements is 1.41 eV per formula unit.

***

No. 6
First-principles (meta-GGA SCAN) data for a PBEsol-optimized structure of Mn2TcAg, as listed in the Alexandria database.

Cell: 2.654 2.654 7.532 Å, 90.00 90.00 90.00°
Fractional coordinates of all 4 atoms:
Tc: 0.000 0.000 0.464
Ag: 0.500 0.500 0.758
Mn: 0.000 0.000 0.034
Mn: 0.500 0.500 0.244

The energy relative to the elements is 0.71 eV per formula unit.

***

No. 7
First-principles (meta-GGA SCAN) data for a PBEsol-optimized structure of MnTcAg, as listed in the Alexandria database.

Cell: 2.667 2.667 6.692 Å, 90.00 90.00 120.00°
Fractional coordinates of all 3 atoms:
Ag: 0.000 0.000 0.991
Tc: 0.667 0.333 0.363
Mn: 0.333 0.667 0.646

The energy relative to the elements is 1.23 eV per formula unit.

***

No. 8
First-principles (meta-GGA SCAN) data for a PBEsol-optimized structure of Mn2TcAg, as listed in the Alexandria database.

Cell: 2.652 4.507 4.718 Å, 100.07 90.00 107.11°
Fractional coordinates of all 4 atoms:
Mn: 0.257 0.514 0.306
Mn: 0.743 0.486 0.694
Tc: 0.000 0.000 0.500
Ag: 0.500 0.000 0.000

The energy relative to the elements is 1.97 eV per formula unit.

***

No. 9
First-principles (meta-GGA SCAN) data for a PBEsol-optimized structure of MnTcAg2, as listed in the Alexandria database.

Cell: 2.683 2.683 8.835 Å, 90.00 90.00 110.34°
Fractional coordinates of all 4 atoms:
Tc: 0.500 0.500 0.276
Mn: 0.000 0.000 0.484
Ag: 0.000 0.000 0.005
Ag: 0.500 0.500 0.736

For the distance to the lowest polymorph of the same formula, the calculation gives 0 meV per atom. The energy relative to the elements is 0.75 eV per formula unit.

***

No. 10
First-principles (meta-GGA SCAN) data for a PBEsol-optimized structure of MnTcAg2, as listed in the Alexandria database.

Cell: 2.700 4.789 4.789 Å, 90.00 90.00 90.00°
Fractional coordinates of all 4 atoms:
Mn: 0.500 0.500 0.500
Ag: 0.000 0.500 0.000
Ag: 0.000 0.000 0.500
Tc: 0.500 0.000 0.000

For the distance to the lowest polymorph of the same formula, the calculation gives 297 meV per atom. The energy relative to the elements is 1.94 eV per formula unit.

***

No. 11
First-principles (meta-GGA SCAN) data for a PBEsol-optimized structure of MnAgTe, as listed in the Alexandria database.

Cell: 4.556 4.556 4.556 Å, 60.00 60.00 60.00°
Fractional coordinates of all 3 atoms:
Ag: 0.250 0.250 0.250
Te: 0.500 0.500 0.500
Mn: 0.000 0.000 0.000

For the uncorrected formation energy, the calculation gives 0.092 eV/atom.

***

No. 12
First-principles (meta-GGA SCAN) data for a PBEsol-optimized structure of MnAgTe2, as listed in the Alexandria database.

Cell: 5.803 5.735 7.248 Å, 66.69 66.40 90.00°
Fractional coordinates of all 8 atoms:
Te: 0.363 0.649 0.702
Te: 0.935 0.149 0.702
Mn: 0.000 0.250 0.000
Te: 0.065 0.851 0.298
Mn: 0.000 0.750 0.000
Ag: 0.500 0.750 0.000
Ag: 0.500 0.250 0.000
Te: 0.637 0.351 0.298

For the uncorrected formation energy, the calculation gives -0.273 eV/atom.

***

No. 13
First-principles (meta-GGA SCAN) data for a PBEsol-optimized structure of MnAgTe2, as listed in the Alexandria database.

Cell: 3.937 3.937 7.198 Å, 74.13 74.13 60.00°
Fractional coordinates of all 4 atoms:
Te: 0.744 0.744 0.769
Mn: 0.000 0.000 0.000
Ag: 0.500 0.500 0.500
Te: 0.256 0.256 0.231

For the uncorrected formation energy, the calculation gives -0.311 eV/atom.

***

No. 14
First-principles (meta-GGA SCAN) data for a PBEsol-optimized structure of MnAgTe2, as listed in the Alexandria database.

Cell: 3.170 5.640 5.640 Å, 87.96 74.78 74.78°
Fractional coordinates of all 4 atoms:
Te: 0.000 0.000 0.500
Ag: 0.000 0.500 0.500
Te: 0.000 0.500 0.000
Mn: 0.000 0.000 0.000

For the uncorrected formation energy, the calculation gives -0.035 eV/atom.

***

No. 15
First-principles (meta-GGA SCAN) data for a PBEsol-optimized structure of TiMn2Ag, as listed in the Alexandria database.

Cell: 4.297 4.297 4.297 Å, 60.00 60.00 60.00°
Fractional coordinates of all 4 atoms:
Ti: 0.000 0.000 0.000
Mn: 0.750 0.750 0.750
Mn: 0.250 0.250 0.250
Ag: 0.500 0.500 0.500

The energy relative to the elements is -0.15 eV per formula unit.

***

No. 16
First-principles (meta-GGA SCAN) data for a PBEsol-optimized structure of MnTl3Ag, as listed in the Alexandria database.

Cell: 5.073 5.073 5.073 Å, 90.00 90.00 90.00°
Fractional coordinates of all 5 atoms:
Mn: 0.000 0.000 0.000
Tl: 0.000 0.000 0.500
Tl: 0.500 0.000 0.000
Ag: 0.500 0.500 0.500
Tl: 0.000 0.500 0.000

The energy relative to the elements is 2.02 eV per formula unit.

***

No. 17
First-principles (meta-GGA SCAN) data for a PBEsol-optimized structure of MnTl2Ag, as listed in the Alexandria database.

Cell: 4.866 4.866 4.866 Å, 60.00 60.00 60.00°
Fractional coordinates of all 4 atoms:
Ag: 0.500 0.500 0.500
Mn: 0.000 0.000 0.000
Tl: 0.750 0.750 0.750
Tl: 0.250 0.250 0.250

The energy relative to the elements is 0.77 eV per formula unit.

***

No. 18
First-principles (meta-GGA SCAN) data for a PBEsol-optimized structure of Mn2TlAg, as listed in the Alexandria database.

Cell: 3.005 3.005 9.117 Å, 80.51 80.51 60.00°
Fractional coordinates of all 4 atoms:
Tl: 0.500 0.500 0.500
Mn: 0.254 0.254 0.239
Mn: 0.746 0.746 0.761
Ag: 0.000 0.000 0.000

The energy relative to the elements is 0.78 eV per formula unit.

***

No. 19
First-principles (meta-GGA SCAN) data for a PBEsol-optimized structure of MnAg2W, as listed in the Alexandria database.

Cell: 2.732 4.833 4.833 Å, 90.00 90.00 90.00°
Fractional coordinates of all 4 atoms:
Mn: 0.500 0.500 0.500
W: 0.500 0.000 0.000
Ag: 0.000 0.500 0.000
Ag: 0.000 0.000 0.500

For the distance to the lowest polymorph of the same formula, the calculation gives 378 meV per atom. The energy relative to the elements is 2.58 eV per formula unit.

***

No. 20
First-principles (meta-GGA SCAN) data for a PBEsol-optimized structure of MnAg3W, as listed in the Alexandria database.

Cell: 4.664 4.664 4.664 Å, 90.00 90.00 90.00°
Fractional coordinates of all 5 atoms:
Ag: 0.500 0.000 0.000
Ag: 0.000 0.500 0.000
Ag: 0.000 0.000 0.500
Mn: 0.000 0.000 0.000
W: 0.500 0.500 0.500

The energy relative to the elements is 8.86 eV per formula unit.

***

No. 21
First-principles (meta-GGA SCAN) data for a PBEsol-optimized structure of MnAg2W, as listed in the Alexandria database.

Cell: 2.714 2.714 8.276 Å, 90.00 90.00 90.00°
Fractional coordinates of all 4 atoms:
Mn: 0.000 0.000 0.505
Ag: 0.500 0.500 0.262
W: 0.500 0.500 0.734
Ag: 0.000 0.000 0.998

For the distance to the lowest polymorph of the same formula, the calculation gives 0 meV per atom. The energy relative to the elements is 1.07 eV per formula unit.

***

No. 22
First-principles (meta-GGA SCAN) data for a PBEsol-optimized structure of Y2MnAg, as listed in the Alexandria database.

Cell: 3.473 5.029 5.029 Å, 90.00 90.00 90.00°
Fractional coordinates of all 4 atoms:
Ag: 0.500 0.500 0.500
Y: 0.000 0.500 0.000
Mn: 0.500 0.000 0.000
Y: 0.000 0.000 0.500

The energy relative to the elements is -0.87 eV per formula unit.

***

No. 23
First-principles (meta-GGA SCAN) data for a PBEsol-optimized structure of YMnAg, as listed in the Alexandria database.

Cell: 3.454 3.454 5.523 Å, 108.22 108.22 90.00°
Fractional coordinates of all 3 atoms:
Ag: 0.982 0.982 0.964
Y: 0.670 0.670 0.340
Mn: 0.348 0.348 0.697

The energy relative to the elements is -0.45 eV per formula unit.

***

No. 24
First-principles (meta-GGA SCAN) data for a PBEsol-optimized structure of Y2MnAg, as listed in the Alexandria database.

Cell: 3.459 3.459 7.252 Å, 90.00 90.00 90.00°
Fractional coordinates of all 4 atoms:
Y: 0.000 0.000 0.737
Mn: 0.500 0.500 0.500
Ag: 0.500 0.500 0.000
Y: 0.000 0.000 0.263

The energy relative to the elements is -0.93 eV per formula unit.

***

No. 25
First-principles (meta-GGA SCAN) data for a PBEsol-optimized structure of Y2MnAg, as listed in the Alexandria database.

Cell: 3.390 3.390 9.275 Å, 79.47 79.47 60.00°
Fractional coordinates of all 4 atoms:
Ag: 0.500 0.500 0.500
Mn: 0.000 0.000 0.000
Y: 0.746 0.746 0.761
Y: 0.254 0.254 0.239

The energy relative to the elements is 0.40 eV per formula unit.

***

No. 26
First-principles (meta-GGA SCAN) data for a PBEsol-optimized structure of YMn2Ag, as listed in the Alexandria database.

Cell: 4.029 4.035 5.143 Å, 113.10 113.06 89.98°
Fractional coordinates of all 4 atoms:
Y: 0.500 0.000 0.000
Ag: 0.250 0.250 0.500
Mn: 0.750 0.750 0.500
Mn: 0.000 0.500 0.000

The energy relative to the elements is -0.01 eV per formula unit.

***

No. 27
First-principles (meta-GGA SCAN) data for a PBEsol-optimized structure of YMnAg, as listed in the Alexandria database.

Cell: 3.471 4.525 4.525 Å, 120.00 90.00 90.00°
Fractional coordinates of all 3 atoms:
Y: 0.500 0.667 0.333
Ag: 0.000 0.000 0.000
Mn: 0.000 0.333 0.667

The energy relative to the elements is -0.54 eV per formula unit.

***

No. 28
First-principles (meta-GGA SCAN) data for a PBEsol-optimized structure of YMnAg2, as listed in the Alexandria database.

Cell: 3.439 3.439 6.377 Å, 90.00 90.00 89.99°
Fractional coordinates of all 4 atoms:
Mn: 0.000 0.000 0.463
Y: 0.500 0.500 0.746
Ag: 0.500 0.500 0.259
Ag: 0.000 0.000 0.032

The energy relative to the elements is -0.59 eV per formula unit.

***

No. 29
First-principles (meta-GGA SCAN) data for a PBEsol-optimized structure of YMnAg, as listed in the Alexandria database.

Cell: 4.513 4.513 4.513 Å, 60.00 60.00 60.00°
Fractional coordinates of all 3 atoms:
Ag: 0.500 0.500 0.500
Mn: 0.250 0.250 0.250
Y: 0.000 0.000 0.000

The energy relative to the elements is 0.51 eV per formula unit.

***

No. 30
First-principles (meta-GGA SCAN) data for a PBEsol-optimized structure of YMnAg, as listed in the Alexandria database.

Cell: 4.667 4.667 4.667 Å, 60.00 60.00 60.00°
Fractional coordinates of all 3 atoms:
Mn: 0.500 0.500 0.500
Y: 0.250 0.250 0.250
Ag: 0.000 0.000 0.000

The energy relative to the elements is 1.53 eV per formula unit.

***

No. 31
First-principles (meta-GGA SCAN) data for a PBEsol-optimized structure of YMnAg2, as listed in the Alexandria database.

Cell: 3.087 3.087 9.441 Å, 80.59 80.59 60.00°
Fractional coordinates of all 4 atoms:
Ag: 0.242 0.242 0.275
Mn: 0.500 0.500 0.500
Ag: 0.758 0.758 0.725
Y: 0.000 0.000 0.000

The energy relative to the elements is 0.55 eV per formula unit.

***

no.,DOS(E_F) (states/eV/f.u.),E (eV/atom)
1,3.39,-33.4436
2,3.75,-38.3402
3,2.34,-36.6806
4,1.84,-36.8188
5,2.73,-28.6586
6,2.75,-25.5559
7,2.32,-27.8190
8,4.27,-25.2425
9,2.48,-28.8238
10,2.79,-28.5271
11,2.04,-28.8655
12,0.81,-31.3037
13,1.04,-31.3422
14,1.30,-31.0662
15,2.35,-21.0153
16,2.46,-52.9355
17,1.34,-48.3921
18,1.90,-34.8646
19,2.71,-37.0234
20,2.60,-34.6376
21,1.96,-37.4015
22,3.25,-26.5453
23,2.12,-25.9716
24,3.02,-26.5590
25,3.91,-26.2264
26,3.35,-23.9319
27,2.16,-26.0006
28,1.84,-27.3556
29,1.73,-25.6509
30,2.16,-25.3133
31,2.51,-27.0709